Entry from Alexandria via LeMat-Bulk: an optimized crystal structure of CsBa2SiI (PBE-GGA).

The space group is P4/mmm. The uncorrected formation energy is -0.14 eV/atom.

a b c (Å): 6.374 7.302 6.374
angles (deg): 90.00 90.00 90.00
Atoms (fractional coordinates):
Si 0.000 0.000 0.000
Ba 0.500 0.000 0.000
Ba 0.000 0.000 0.500
I 0.000 0.500 0.000
Cs 0.500 0.500 0.500

---

Entry from Alexandria via LeMat-Bulk: an optimized crystal structure of Cs2BaSiI6 (PBE-GGA).

The space group is Fm-3m. The uncorrected formation energy is -1.13 eV/atom.

a b c (Å): 8.953 8.953 8.954
angles (deg): 60.00 60.00 90.00
Atoms (fractional coordinates):
I 0.733 0.733 0.534
I 0.267 0.267 0.466
I 0.267 0.733 0.000
I 0.733 0.733 0.000
I 0.267 0.267 0.000
I 0.733 0.267 0.000
Cs 0.750 0.250 0.500
Cs 0.250 0.750 0.500
Ba 0.000 0.000 0.000
Si 0.500 0.500 0.000

---

Entry from Alexandria via LeMat-Bulk: an optimized crystal structure of CsBa2SmI8 (PBE-GGA).

The space group is P-1. The uncorrected formation energy is -1.58 eV/atom.

a b c (Å): 7.998 7.733 10.713
angles (deg): 89.94 89.99 90.13
Atoms (fractional coordinates):
I 0.149 0.764 0.204
I 0.395 0.255 0.500
I 0.323 0.239 0.000
I 0.850 0.235 0.204
I 0.150 0.765 0.796
I 0.677 0.761 0.000
I 0.851 0.236 0.796
I 0.605 0.745 0.500
Ba 0.500 0.500 0.247
Ba 0.500 0.500 0.753
Sm 0.000 0.000 0.000
Cs 0.000 0.000 0.500

---

Entry from Alexandria via LeMat-Bulk: an optimized crystal structure of CsBaSmI6 (PBE-GGA).

The space group is P-31c. The uncorrected formation energy is -1.57 eV/atom.

a b c (Å): 8.659 8.659 16.221
angles (deg): 90.00 90.00 120.00
Atoms (fractional coordinates):
I 0.357 0.389 0.863
I 0.389 0.357 0.363
I 0.032 0.389 0.637
I 0.032 0.643 0.863
I 0.611 0.968 0.863
I 0.643 0.032 0.363
I 0.389 0.032 0.137
I 0.968 0.611 0.363
I 0.357 0.968 0.637
I 0.968 0.357 0.137
I 0.643 0.611 0.137
I 0.611 0.643 0.637
Cs 0.000 0.000 0.000
Cs 0.000 0.000 0.500
Ba 0.667 0.333 0.750
Ba 0.333 0.667 0.250
Sm 0.333 0.667 0.750
Sm 0.667 0.333 0.250

---

Entry from Alexandria via LeMat-Bulk: an optimized crystal structure of Cs3BaSr2I9 (PBE-GGA).

The space group is P-3m1. The uncorrected formation energy is -1.63 eV/atom.

a b c (Å): 9.191 9.191 11.727
angles (deg): 90.00 90.00 120.00
Atoms (fractional coordinates):
I 0.328 0.164 0.686
I 0.500 0.500 0.000
I 0.500 0.000 0.000
I 0.000 0.500 0.000
I 0.164 0.328 0.314
I 0.164 0.836 0.314
I 0.836 0.164 0.686
I 0.672 0.836 0.314
I 0.836 0.672 0.686
Sr 0.667 0.333 0.835
Sr 0.333 0.667 0.165
Cs 0.667 0.333 0.273
Cs 0.333 0.667 0.727
Cs 0.000 0.000 0.000
Ba 0.000 0.000 0.500

---

Entry from Alexandria via LeMat-Bulk: an optimized crystal structure of CsBaTbI6 (PBE-GGA).

The space group is P-31c. The uncorrected formation energy is -1.57 eV/atom.

a b c (Å): 8.611 8.611 16.243
angles (deg): 90.00 90.00 120.00
Atoms (fractional coordinates):
Ba 0.333 0.667 0.250
Ba 0.667 0.333 0.750
I 0.355 0.964 0.639
I 0.036 0.645 0.861
I 0.609 0.645 0.639
I 0.355 0.391 0.861
I 0.964 0.609 0.361
I 0.645 0.036 0.361
I 0.609 0.964 0.861
I 0.645 0.609 0.139
I 0.391 0.036 0.139
I 0.036 0.391 0.639
I 0.391 0.355 0.361
I 0.964 0.355 0.139
Cs 0.000 0.000 0.500
Cs 0.000 0.000 0.000
Tb 0.667 0.333 0.250
Tb 0.333 0.667 0.750